1.
A plane-wave DFT calculation with PBE was carried out for a geometry-optimized TlZnTc2 structure.

Cell and atoms, written as extended XYZ:
```
4
Lattice="1.551 -2.376 0.000 1.551 2.376 0.000 0.000 0.000 9.090" Properties=species:S:1:pos:R:3 pbc="T T T"
Tl 0.000 0.000 0.000
Zn 0.000 0.000 4.545
Tc 1.551 0.000 2.419
Tc 1.551 0.000 6.672
```

Computed properties:
ρ in g cm⁻³: 11.539
Distance to the lowest polymorph of the same formula in meV/atom: 439.8

***

2.
A plane-wave DFT calculation with PBE was carried out for a geometry-optimized Tl2ZnTc structure.

Cell and atoms, written as extended XYZ:
```
4
Lattice="3.133 0.000 0.000 0.000 3.133 0.000 0.000 0.000 8.859" Properties=species:S:1:pos:R:3 pbc="T T T"
Tl 0.000 0.000 0.000
Tl 1.566 1.566 2.927
Zn 0.000 0.000 5.342
Tc 1.566 1.566 6.816
```

Computed properties:
ρ in g cm⁻³: 10.929
Distance to the lowest polymorph of the same formula in meV/atom: 0.0

***

3.
A plane-wave DFT calculation with PBE was carried out for a geometry-optimized Tl2ZnTc structure.

Cell and atoms, written as extended XYZ:
```
4
Lattice="1.770 -2.569 0.000 1.770 2.569 0.000 0.000 0.000 9.323" Properties=species:S:1:pos:R:3 pbc="T T T"
Tl 0.000 0.000 2.239
Tl 0.000 0.000 7.084
Zn 1.770 0.000 4.661
Tc 1.770 0.000 0.000
```

Computed properties:
ρ in g cm⁻³: 11.205
Distance to the lowest polymorph of the same formula in meV/atom: 220.8

***

| no. | raw total energy (eV/atom) | E_form (kJ/mol of atoms) | M_tot (μB per cell) |
| --- | --- | --- | --- |
| 1 | -5.433 | 63.6 | 0.00 |
| 2 | -3.641 | 43.6 | 1.61 |
| 3 | -3.421 | 64.9 | 1.31 |